[1]
TmScBiO2 GGA-PBE relaxed; DOS(E_F) = 1.33 states/eV per cell; calculated volume = 18.59 Å³/atom; E_tot = -0.277 Ha/atom; E_form (uncorrected) = -2.61 eV/atom
1.0
-0.247 3.028 2.217
-0.458 -2.229 2.994
6.862 -0.528 -1.705
O Sc Tm Bi
2 1 1 1
Direct
0.255 0.755 0.509
0.755 0.255 0.509
0.826 0.826 0.652
0.169 0.169 0.338
0.496 0.496 0.992

[2]
TmScBi2O6 GGA-PBE relaxed; DOS(E_F) = 0.00 states/eV per cell; calculated volume = 14.80 Å³/atom; E_tot = -0.265 Ha/atom; E_form (uncorrected) = -2.39 eV/atom
1.0
-0.119 5.818 0.787
-0.744 2.220 5.385
4.623 2.688 2.732
Bi O Tm Sc
2 6 1 1
Direct
0.025 0.025 0.924
0.525 0.525 0.426
0.118 0.462 0.759
0.462 0.662 0.759
0.979 0.603 0.251
0.166 0.979 0.251
0.662 0.117 0.759
0.603 0.166 0.251
0.810 0.810 0.570
0.312 0.312 0.065

[3]
Tm2ScBi2O2 GGA-PBE relaxed; DOS(E_F) = 2.03 states/eV per cell; calculated volume = 20.20 Å³/atom; E_tot = -0.240 Ha/atom; E_form (uncorrected) = -1.82 eV/atom
1.0
4.122 0.000 0.000
0.000 4.122 0.000
-2.061 -2.061 8.322
Tm Sc Bi O
2 1 2 2
Direct
0.395 0.395 0.791
0.605 0.605 0.209
0.000 0.000 0.000
0.187 0.187 0.374
0.813 0.813 0.626
0.500 0.000 0.000
0.000 0.500 0.000